Here is an optimized crystal structure of MnHgF2 from Alexandria via LeMat-Bulk. Energies are from GGA+U.

a b c (Å): 6.3235 6.3235 9.9486
angles (deg): 90.00 90.00 90.00
Last column: nearest neighbours and their distance in Å.
Space group I-42d (No. 122)
One atom of each set of equivalent atoms:
1 Mn 0.0000 0.0000 0.0000 (multiplicity 4)  4 F 2.02
2 Hg 0.0000 0.0000 0.5000 (multiplicity 4)  12 F 3.63-4.05, 4 Hg 4.02, 4 Mn 4.02
3 F 0.0219 0.2500 0.1250 (multiplicity 8)  2 Mn 2.02

- total magnetic moment (μB/f.u.) = 5.00
- raw total energy (eV/f.u.) = -19.0
- crystal system = tetragonal